No. 1
VASP calculation (PBE) on crystalline Ce2Pm3Os2 at its relaxed geometry.

a b c (Å): 3.899 6.374 8.908
angles (deg): 103.66 102.64 107.81
Positions (direct):
Ce 0.356 0.528 0.183
Ce 0.644 0.472 0.817
Os 0.032 0.838 0.226
Os 0.968 0.162 0.774
Pm 0.801 0.182 0.420
Pm 0.199 0.818 0.580
Pm 0.500 0.000 0.000

Results
energy relative to the elements: -0.14 eV per atom
VASP energy: -49.55 eV/cell
space-group type: C2/m



No. 2
VASP calculation (PBE) on crystalline Pa4Te3P at its relaxed geometry.

a b c (Å): 4.144 7.447 7.447
angles (deg): 108.18 90.00 90.00
Each line ends with the local moment (μB).
Positions (direct):
P 0.500 0.000 0.000  -0.01
Pa 0.500 0.772 0.228  0.37
Pa 0.000 0.212 0.212  0.26
Pa 0.000 0.788 0.788  0.26
Pa 0.500 0.228 0.772  0.37
Te 0.000 0.500 0.000  -0.01
Te 0.500 0.500 0.500  -0.01
Te 0.000 0.000 0.500  -0.01

Results
VASP energy: -59.14 eV/cell
formation energy from raw total energies: -0.790 eV per atom
space-group type: Cmmm



No. 3
VASP calculation (PBE) on crystalline Tl2RuPt2O6 at its relaxed geometry.

a b c (Å): 5.604 5.604 6.486
angles (deg): 97.43 97.43 119.58
Each line ends with the local moment (μB).
Positions (direct):
O 0.377 0.046 0.650  0.00
O 0.046 0.377 0.650  0.00
O 0.712 0.712 0.651  0.00
O 0.954 0.623 0.350  0.00
O 0.623 0.954 0.350  0.00
O 0.288 0.288 0.349  0.00
Pt 0.334 0.666 0.500  -0.02
Pt 0.666 0.334 0.500  -0.02
Tl 0.836 0.164 0.000  0.00
Tl 0.164 0.836 0.000  0.00
Ru 0.000 0.000 0.500  0.13

Results
VASP energy: -61.55 eV/cell
formation energy from raw total energies: -0.519 eV per atom
space-group type: C2/m